No. 1
Np2Mo3N5: optimized geometry, PBE. Values from VASP.

Quantum ESPRESSO input file:
```
&SYSTEM
  ibrav = 0, nat = 10, ntyp = 3
/
ATOMIC_SPECIES
Mo 95.94 Mo.upf
N 14.01 N.upf
Np 237.00 Np.upf
CELL_PARAMETERS angstrom
3.063 0.000 0.680
1.250 5.506 1.609
0.092 -0.700 6.828
ATOMIC_POSITIONS angstrom
Mo 1.174 3.425 1.953
N 2.662 1.985 2.490
N 0.622 0.822 4.438
N 3.783 3.984 4.679
N 1.744 2.821 6.627
Mo 2.203 2.403 4.558
Np 3.274 4.585 6.973
Np 1.131 0.222 2.144
N 0.000 0.000 0.000
Mo 3.232 1.381 7.164
```

Output
- spin magnetization (μB/cell) = 5.8
- space group = C2/m
- ΔE_f (raw) (eV per atom) = -0.727
- uncorrected energy (eV per atom) = -10.73


No. 2
Np2MoN4: optimized geometry, PBE. Values from VASP.

Quantum ESPRESSO input file:
```
&SYSTEM
  ibrav = 0, nat = 7, ntyp = 3
/
ATOMIC_SPECIES
N 14.01 N.upf
Np 237.00 Np.upf
Mo 95.94 Mo.upf
CELL_PARAMETERS angstrom
3.434 0.000 0.734
1.639 3.018 0.734
0.054 0.032 8.149
ATOMIC_POSITIONS angstrom
N 0.709 0.422 5.085
Np 3.931 2.339 6.809
N 4.418 2.628 4.532
Mo 0.000 0.000 0.000
N 1.974 1.174 7.568
N 3.153 1.876 2.048
Np 1.196 0.711 2.807
```

Output
- spin magnetization (μB/cell) = 2.4
- space group = R-3m
- ΔE_f (raw) (eV per atom) = -0.810
- uncorrected energy (eV per atom) = -10.81